DFT (PBE) results for an optimized crystal structure of YAlCu11.

Cell and atoms, written as extended XYZ:
```
13
Lattice="2.4246 -5.9724 0.0000 2.4246 5.9724 0.0000 -2.3820 0.0000 6.1028" Properties=species:S:1:pos:R:3 pbc="T T T"
Y 0.0000 0.0000 0.0000
Al 1.2336 0.0000 3.0514
Cu -1.1910 0.0000 3.0514
Cu 1.2123 2.9862 0.0000
Cu 0.0522 3.8401 3.9507
Cu 0.0431 1.3303 4.7563
Cu 2.4150 3.8401 2.1521
Cu 2.4242 1.3303 1.3465
Cu 1.2123 -2.9862 0.0000
Cu 0.0431 -1.3303 4.7563
Cu 0.0522 -3.8401 3.9507
Cu 2.4242 -1.3303 1.3465
Cu 2.4150 -3.8401 2.1521
```

DOS(E_F)	3.84	states/eV/cell
uncorrected energy	-57.1	eV per cell
ΔH_f (0 K)	-139	meV/atom
magnetization	0.000	μB per formula unit